[1]
{
  "formula": "OsAu",
  "functional": "PBE",
  "state": "relaxed",
  "lattice_angstrom": [[-1.732, -0.402, 2.198], [1.410, -2.354, 0.680], [5.021, 4.380, 4.757]],
  "species": ["Os", "Os", "Au", "Au"],
  "fractional_positions": [[0.000, 0.000, 0.526], [0.500, 0.500, 0.724], [0.000, 0.000, 0.987], [0.500, 0.500, 0.263]],
  "ef_mev_per_atom": 283.7,
  "magnetic_moment_mub_per_cell": 0.00,
  "relative_energy_kj_per_mol_fu": 0.0
}

***

[2]
{
  "formula": "Ba6AuN3",
  "functional": "PBE",
  "state": "relaxed",
  "lattice_angstrom": [[4.008, 0.000, 0.000], [0.000, 11.456, -3.802], [0.000, -0.042, 14.706]],
  "species": ["Ba", "Ba", "Ba", "Ba", "Ba", "Ba", "Ba", "Ba", "Ba", "Ba", "Ba", "Ba", "N", "N", "N", "N", "N", "N", "Au", "Au"],
  "fractional_positions": [[0.250, 0.035, 0.778], [0.250, 0.802, 0.387], [0.750, 0.334, 0.887], [0.250, 0.359, 0.445], [0.750, 0.520, 0.282], [0.750, 0.965, 0.222], [0.250, 0.866, 0.929], [0.250, 0.666, 0.113], [0.750, 0.198, 0.613], [0.750, 0.641, 0.555], [0.750, 0.134, 0.071], [0.250, 0.480, 0.718], [0.250, 0.265, 0.745], [0.750, 0.415, 0.576], [0.250, 0.984, 0.111], [0.250, 0.585, 0.424], [0.750, 0.016, 0.889], [0.750, 0.735, 0.255], [0.750, 0.621, 0.912], [0.250, 0.379, 0.088]],
  "magnetic_moment_mub_per_cell": 0.00,
  "formation_energy_uncorrected_mev_per_atom": -437.5
}

***

[3]
{
  "formula": "Pm4Ni2I",
  "functional": "PBE",
  "state": "relaxed",
  "lattice_angstrom": [[-3.274, 5.008, 5.824], [-4.621, -6.853, 1.190], [8.278, -0.091, 1.100]],
  "species": ["Ni", "Ni", "Ni", "Ni", "Pm", "Pm", "Pm", "Pm", "Pm", "Pm", "Pm", "Pm", "I", "I"],
  "fractional_positions": [[0.625, 0.375, 0.250], [0.625, 0.375, 0.750], [0.625, 0.875, 0.250], [0.125, 0.375, 0.750], [0.810, 0.622, 0.188], [0.816, 0.128, 0.688], [0.373, 0.159, 0.787], [0.877, 0.591, 0.713], [0.434, 0.622, 0.812], [0.373, 0.586, 0.213], [0.440, 0.128, 0.312], [0.877, 0.164, 0.287], [0.164, 0.664, 0.500], [0.086, 0.086, 0.000]],
  "magnetic_moment_mub_per_cell": 0.00,
  "formation_energy_uncorrected_mev_per_atom": -323.5
}

***

[4]
{
  "formula": "La2SmY6Ho3",
  "functional": "PBE",
  "state": "relaxed",
  "lattice_angstrom": [[6.231, 0.000, 0.005], [-3.114, 5.397, 0.005], [-1.047, -1.813, 11.689]],
  "species": ["Y", "Y", "Y", "Y", "Y", "Y", "Sm", "La", "La", "Ho", "Ho", "Ho"],
  "fractional_positions": [[0.085, 0.418, 0.255], [0.418, 0.085, 0.255], [0.915, 0.582, 0.745], [0.582, 0.915, 0.745], [0.247, 0.247, 0.745], [0.753, 0.753, 0.255], [0.000, 0.000, 0.000], [0.667, 0.333, 0.000], [0.333, 0.667, 0.000], [0.500, 0.500, 0.500], [0.166, 0.834, 0.500], [0.834, 0.166, 0.500]],
  "ef_mev_per_atom": 22.4,
  "magnetic_moment_mub_per_cell": 0.00
}

***

[5]
{
  "formula": "KPrEuSbO6",
  "functional": "PBE",
  "state": "relaxed",
  "lattice_angstrom": [[0.000, 4.222, 4.222], [4.222, 0.000, 4.222], [4.222, 4.222, 0.000]],
  "species": ["O", "O", "O", "O", "O", "O", "Eu", "K", "Pr", "Sb"],
  "fractional_positions": [[0.265, 0.735, 0.735], [0.265, 0.735, 0.265], [0.735, 0.735, 0.265], [0.265, 0.265, 0.735], [0.735, 0.265, 0.265], [0.735, 0.265, 0.735], [0.000, 0.000, 0.000], [0.750, 0.750, 0.750], [0.250, 0.250, 0.250], [0.500, 0.500, 0.500]],
  "magnetic_moment_mub_per_cell": 6.00,
  "formation_energy_uncorrected_mev_per_atom": -2150.7,
  "relative_energy_kj_per_mol_fu": 3.1
}

***

[6]
{
  "formula": "Hf2TePd2",
  "functional": "PBE",
  "state": "relaxed",
  "lattice_angstrom": [[-3.840, -3.296, 5.457], [-5.042, -2.329, -4.955], [1.885, -3.021, -0.498]],
  "species": ["Pd", "Pd", "Pd", "Pd", "Hf", "Hf", "Hf", "Hf", "Te", "Te"],
  "fractional_positions": [[0.371, 0.871, 0.000], [0.129, 0.371, 0.000], [0.871, 0.629, 0.000], [0.629, 0.129, 0.000], [0.337, 0.163, 0.500], [0.837, 0.337, 0.500], [0.163, 0.663, 0.500], [0.663, 0.837, 0.500], [0.500, 0.500, 0.000], [0.000, 0.000, 0.000]],
  "magnetic_moment_mub_per_cell": 0.00,
  "formation_energy_uncorrected_mev_per_atom": -536.6,
  "relative_energy_kj_per_mol_fu": 0.0
}